A geometry-optimized Na2NiBF6 structure. Source: Alexandria via LeMat-Bulk, functional PBE+U.

## Properties
E_tot: -4.505 eV per atom
calculated volume: 112 Å³/cell
DOS at the Fermi energy: 0.000 states/eV/atom

Lattice parameters (Å, degrees): 5.7541 5.4979 5.7959 52.40 53.44 79.80
With the nearest neighbours (Å) after each atom.
Fractional coordinates of all 10 atoms:
Ni  0.0000  0.0000  0.0000  4 F 2.06
B  0.5000  0.5000  0.0000  2 F 1.51
Na  0.7625  0.2385  0.5202  5 F 2.28-2.35
Na  0.2375  0.7615  0.4798  5 F 2.28-2.35
F  0.3309  0.7908  0.0137  1 B 1.74
F  0.3392  0.4601  0.8884  1 B 1.51
F  0.6608  0.5399  0.1116  1 B 1.51
F  0.7993  0.7986  0.5383  1 B 1.72
F  0.2007  0.2014  0.4617  1 B 1.72
F  0.6691  0.2092  0.9863  1 B 1.74